PuBe2Pb2O6 PBE relaxed; energy = -7.49 eV per atom; space group = P-3, No. 147
1.0
-4.7563 -0.7484 -2.0480
4.2530 -1.5377 -2.6314
-0.4031 -7.2511 3.5859
O Pb Be Pu
6 2 2 1
Direct
0.6371 0.9558 0.8328
0.9558 0.3186 0.1672
0.3629 0.0442 0.1672
0.6814 0.6371 0.1672
0.3186 0.3629 0.8328
0.0442 0.6814 0.8328
0.6667 0.3333 0.6839
0.3333 0.6667 0.3161
0.3333 0.6667 0.8365
0.6667 0.3333 0.1635
0.0000 0.0000 0.0000